(1)
Density functional theory data (GGA-PBEsol) for a relaxed FePt2W crystal.

Magnetization   2.58 μB per formula unit
E_form   -201.7 meV per atom
SG   Pmm2 (25)
Mass density   18.41 g cm⁻³
Uncorrected energy   -0.68914 Ry/atom
D(E_F)   2.8 states/eV per cell

Lattice parameters (Å, degrees): 2.700 4.375 4.809 90.00 90.00 90.00
Site moments in Bohr magnetons follow the coordinates.
Element x y z (fractional)
Pt: 0.000 0.000 0.047  -0.16
Pt: 0.000 0.500 0.708  0.13
W: 0.500 0.000 0.532  0.09
Fe: 0.500 0.500 0.213  2.55

(2)
Density functional theory data (GGA-PBEsol) for a relaxed YFePt4 crystal.

Magnetization   3.60 μB per formula unit
E_form   -473.7 meV per atom
SG   F-43m (216)
Mass density   15.07 g cm⁻³
Uncorrected energy   -0.56939 Ry/atom
D(E_F)   7.7 states/eV per cell

Lattice parameters (Å, degrees): 5.244 5.244 5.244 60.00 60.00 60.00
Site moments in Bohr magnetons follow the coordinates.
Element x y z (fractional)
Fe: 0.000 0.000 0.000  3.23
Pt: 0.374 0.374 0.374  0.09
Pt: 0.374 0.374 0.877  0.09
Pt: 0.877 0.374 0.374  0.09
Pt: 0.374 0.877 0.374  0.09
Y: 0.750 0.750 0.750  -0.04

(3)
Density functional theory data (GGA-PBEsol) for a relaxed ZnFePt2 crystal.

Magnetization   3.52 μB per formula unit
E_form   -348.6 meV per atom
SG   Pmmm (47)
Mass density   15.47 g cm⁻³
Uncorrected energy   -0.47529 Ry/atom
D(E_F)   2.1 states/eV per cell

Lattice parameters (Å, degrees): 2.753 3.599 5.542 90.00 90.00 90.00
Site moments in Bohr magnetons follow the coordinates.
Element x y z (fractional)
Zn: 0.500 0.500 0.000  -0.01
Fe: 0.500 0.500 0.500  3.02
Pt: 0.000 0.000 0.747  0.23
Pt: 0.000 0.000 0.253  0.23

(4)
Density functional theory data (GGA-PBEsol) for a relaxed Zn2FePt crystal.

Magnetization   2.63 μB per formula unit
E_form   -177.0 meV per atom
SG   C2/m (12)
Mass density   11.92 g cm⁻³
Uncorrected energy   -0.36380 Ry/atom
D(E_F)   2.6 states/eV per cell

Lattice parameters (Å, degrees): 2.710 4.515 4.638 100.22 90.00 107.46
Site moments in Bohr magnetons follow the coordinates.
Element x y z (fractional)
Fe: 0.000 0.000 0.500  2.53
Pt: 0.500 0.000 0.000  0.14
Zn: 0.748 0.497 0.743  -0.02
Zn: 0.252 0.503 0.257  -0.02

(5)
Density functional theory data (GGA-PBEsol) for a relaxed Zn2FePt crystal.

Magnetization   2.40 μB per formula unit
E_form   -165.4 meV per atom
SG   Cmmm (65)
Mass density   11.96 g cm⁻³
Uncorrected energy   -0.36295 Ry/atom
D(E_F)   3.4 states/eV per cell

Lattice parameters (Å, degrees): 2.714 4.533 4.533 108.06 90.00 90.00
Site moments in Bohr magnetons follow the coordinates.
Element x y z (fractional)
Fe: 0.500 0.000 0.000  2.42
Pt: 0.500 0.500 0.500  0.07
Zn: 0.000 0.500 0.000  -0.04
Zn: 0.000 0.000 0.500  -0.04

(6)
Density functional theory data (GGA-PBEsol) for a relaxed ZnFePt2 crystal.

Magnetization   3.38 μB per formula unit
E_form   -328.7 meV per atom
SG   Cmmm (65)
Mass density   15.48 g cm⁻³
Uncorrected energy   -0.47384 Ry/atom
D(E_F)   2.3 states/eV per cell

Lattice parameters (Å, degrees): 2.761 4.524 4.524 103.83 90.00 90.00
Site moments in Bohr magnetons follow the coordinates.
Element x y z (fractional)
Zn: 0.500 0.000 0.000  -0.01
Fe: 0.500 0.500 0.500  2.96
Pt: 0.000 0.500 0.000  0.20
Pt: 0.000 0.000 0.500  0.20

(7)
Density functional theory data (GGA-PBEsol) for a relaxed ZnFePt2 crystal.

Magnetization   3.35 μB per formula unit
E_form   -292.5 meV per atom
SG   Pmm2 (25)
Mass density   15.44 g cm⁻³
Uncorrected energy   -0.47117 Ry/atom
D(E_F)   2.7 states/eV per cell

Lattice parameters (Å, degrees): 2.755 4.408 4.530 90.00 90.00 90.00
Site moments in Bohr magnetons follow the coordinates.
Element x y z (fractional)
Zn: 0.500 0.000 0.566  -0.01
Fe: 0.500 0.500 0.186  2.95
Pt: 0.000 0.000 0.070  0.19
Pt: 0.000 0.500 0.679  0.18

(8)
Density functional theory data (GGA-PBEsol) for a relaxed ZrFePt crystal.

Magnetization   2.68 μB per formula unit
E_form   -321.1 meV per atom
SG   I4mm (107)
Mass density   12.09 g cm⁻³
Uncorrected energy   -0.63650 Ry/atom
D(E_F)   3.0 states/eV per cell

Lattice parameters (Å, degrees): 2.900 2.900 5.954 104.10 104.10 89.97
Site moments in Bohr magnetons follow the coordinates.
Element x y z (fractional)
Fe: 0.990 0.990 0.980  2.58
Pt: 0.348 0.348 0.696  0.19
Zr: 0.662 0.662 0.324  -0.04

(9)
Density functional theory data (GGA-PBEsol) for a relaxed ZrFePt2 crystal.

Magnetization   3.18 μB per formula unit
E_form   -479.5 meV per atom
SG   Fm-3m (225)
Mass density   13.95 g cm⁻³
Uncorrected energy   -0.62287 Ry/atom
D(E_F)   5.6 states/eV per cell

Lattice parameters (Å, degrees): 4.488 4.488 4.488 60.00 60.00 60.00
Site moments in Bohr magnetons follow the coordinates.
Element x y z (fractional)
Fe: 0.000 0.000 0.000  2.98
Pt: 0.750 0.750 0.750  0.09
Pt: 0.250 0.250 0.250  0.09
Zr: 0.500 0.500 0.500  -0.03

(10)
Density functional theory data (GGA-PBEsol) for a relaxed Zr2FePt crystal.

Magnetization   0.88 μB per formula unit
E_form   -571.4 meV per atom
SG   P4/mmm (123)
Mass density   10.65 g cm⁻³
Uncorrected energy   -0.66870 Ry/atom
D(E_F)   3.2 states/eV per cell

Lattice parameters (Å, degrees): 3.236 3.236 6.454 90.00 90.00 90.00
Site moments in Bohr magnetons follow the coordinates.
Element x y z (fractional)
Pt: 0.500 0.500 0.500  0.02
Zr: 0.000 0.000 0.764  -0.14
Zr: 0.000 0.000 0.236  -0.14
Fe: 0.500 0.500 0.000  1.27

(11)
Density functional theory data (GGA-PBEsol) for a relaxed RbFe2Re crystal.

Magnetization   2.85 μB per formula unit
E_form   1881.4 meV per atom
SG   Fm-3m (225)
Mass density   10.25 g cm⁻³
Uncorrected energy   -0.45493 Ry/atom
D(E_F)   6.4 states/eV per cell

Lattice parameters (Å, degrees): 4.444 4.444 4.444 60.00 60.00 60.00
Site moments in Bohr magnetons follow the coordinates.
Element x y z (fractional)
Re: 0.500 0.500 0.500  -0.59
Fe: 0.250 0.250 0.250  1.82
Fe: 0.750 0.750 0.750  1.82
Rb: 0.000 0.000 0.000  -0.01

(12)
Density functional theory data (GGA-PBEsol) for a relaxed RbFeRh3 crystal.

Magnetization   3.83 μB per formula unit
E_form   1120.2 meV per atom
SG   Pm-3m (221)
Mass density   7.85 g cm⁻³
Uncorrected energy   -0.42340 Ry/atom
D(E_F)   9.3 states/eV per cell

Lattice parameters (Å, degrees): 4.566 4.566 4.566 90.00 90.00 90.00
Site moments in Bohr magnetons follow the coordinates.
Element x y z (fractional)
Rh: 0.000 0.500 0.000  0.62
Rh: 0.000 0.000 0.500  0.62
Rh: 0.500 0.000 0.000  0.62
Fe: 0.000 0.000 0.000  2.07
Rb: 0.500 0.500 0.500  -0.02